Entry from Alexandria: Mg2CoMoO6 after structural relaxation (PBE+U).

Cell lengths 5.0900, 5.1077, 5.4309 Å; angles 117.93, 90.23, 119.62 degrees
With the nearest neighbours (Å) after each atom.
Element x y z (fractional)
Mg  0.0000  0.0000  0.0000  6 O 2.02-2.20
Mg  0.4939  0.9953  0.4940  6 O 2.02-2.22
Co  0.7023  0.4106  0.1117  6 O 1.95-1.98
Mo  0.2032  0.4132  0.6177  6 O 1.95-2.04
O  0.0751  0.9013  0.3304  1 Co 1.95, 2 Mg 2.03-2.16, 1 Mo 2.04
O  0.3274  0.9149  0.8408  1 Mo 1.98, 1 Co 1.98, 2 Mg 2.02-2.20
O  0.4325  0.5174  0.3353  1 Co 1.95, 1 Mg 2.02, 1 Mo 2.04
O  0.5783  0.5141  0.8404  1 Mo 1.95, 1 Co 1.97, 1 Mg 2.05
O  0.8220  0.2574  0.3370  1 Co 1.96, 1 Mo 2.01, 1 Mg 2.04
O  0.9256  0.2554  0.8421  1 Co 1.97, 1 Mo 1.98, 1 Mg 2.03

Calculated values
The density of states at the Fermi level comes out at 0.00 states/eV/cell. For the energy, the calculation gives -6.349 eV/atom.